w) Entry from Alexandria via LeMat-Bulk: a relaxed structure of Tl8InSn2 (GGA-PBE).

Output
Volume = 33.1 Å³ per atom

a = 8.413 Å, b = 8.413 Å, c = 6.339 Å
α = 105.76°, β = 105.76°, γ = 58.67°
Positions (direct):
1 Tl 0.132 0.735 0.729
2 Tl 0.156 0.156 0.832
3 Tl 0.265 0.868 0.271
4 Tl 0.277 0.277 0.423
5 Tl 0.723 0.723 0.577
6 Tl 0.735 0.132 0.729
7 Tl 0.844 0.844 0.168
8 Tl 0.868 0.265 0.271
9 In 0.500 0.500 0.500
10 Sn 0.393 0.393 0.008
11 Sn 0.607 0.607 0.992


x) Entry from Alexandria via LeMat-Bulk: a relaxed structure of Tl8InSn2 (GGA-PBE).

Output
Volume = 29.9 Å³ per atom

a = 9.242 Å, b = 9.242 Å, c = 7.293 Å
α = 101.53°, β = 101.53°, γ = 32.64°
Positions (direct):
1 Tl 0.051 0.051 0.225
2 Tl 0.133 0.133 0.684
3 Tl 0.316 0.316 0.586
4 Tl 0.409 0.409 0.050
5 Tl 0.591 0.591 0.950
6 Tl 0.684 0.684 0.414
7 Tl 0.867 0.867 0.316
8 Tl 0.949 0.949 0.775
9 In 0.500 0.500 0.500
10 Sn 0.229 0.229 0.122
11 Sn 0.771 0.771 0.878


So which one wins? Going from most stable to least: x), w).


w) Entry from Alexandria via LeMat-Bulk: a relaxed structure of Tl6In3Sn (GGA-PBE).

Output
Volume = 29.6 Å³ per atom

a = 9.359 Å, b = 5.671 Å, c = 11.723 Å
α = 90.00°, β = 107.94°, γ = 90.00°
Positions (direct):
1 Tl 0.001 0.250 0.156
2 Tl 0.007 0.750 0.342
3 Tl 0.205 0.250 0.960
4 Tl 0.205 0.750 0.646
5 Tl 0.400 0.750 0.440
6 Tl 0.406 0.250 0.759
7 Tl 0.594 0.750 0.241
8 Tl 0.600 0.250 0.560
9 Tl 0.795 0.250 0.354
10 Tl 0.795 0.750 0.040
11 Tl 0.993 0.250 0.658
12 Tl 0.999 0.750 0.844
13 In 0.197 0.250 0.460
14 In 0.211 0.750 0.138
15 In 0.390 0.250 0.261
16 In 0.610 0.750 0.739
17 In 0.789 0.250 0.862
18 In 0.803 0.750 0.540
19 Sn 0.413 0.750 0.943
20 Sn 0.587 0.250 0.057


x) Entry from Alexandria via LeMat-Bulk: a relaxed structure of Tl6In3Sn (GGA-PBE).

Output
Volume = 29.7 Å³ per atom

a = 12.887 Å, b = 3.340 Å, c = 14.334 Å
α = 90.00°, β = 105.88°, γ = 90.00°
Positions (direct):
1 Tl 0.094 0.250 0.207
2 Tl 0.164 0.750 0.791
3 Tl 0.245 0.250 0.603
4 Tl 0.271 0.750 0.402
5 Tl 0.340 0.750 0.195
6 Tl 0.364 0.250 0.987
7 Tl 0.636 0.750 0.013
8 Tl 0.660 0.250 0.805
9 Tl 0.729 0.250 0.598
10 Tl 0.755 0.750 0.397
11 Tl 0.836 0.250 0.209
12 Tl 0.906 0.750 0.793
13 In 0.017 0.750 0.405
14 In 0.117 0.750 0.001
15 In 0.494 0.750 0.598
16 In 0.506 0.250 0.402
17 In 0.883 0.250 0.999
18 In 0.983 0.250 0.595
19 Sn 0.423 0.750 0.796
20 Sn 0.577 0.250 0.204


So which one wins? Going from most stable to least: w), x).


w) Entry from Alexandria via LeMat-Bulk: a relaxed structure of Tl3In7Sn2 (GGA-PBE).

Output
Volume = 28.9 Å³ per atom

a = 5.822 Å, b = 3.291 Å, c = 18.187 Å
α = 90.00°, β = 94.95°, γ = 90.00°
Positions (direct):
1 Tl 0.000 0.000 0.000
2 Tl 0.203 0.500 0.357
3 Tl 0.797 0.500 0.643
4 In 0.155 0.500 0.840
5 In 0.258 0.000 0.526
6 In 0.333 0.000 0.163
7 In 0.500 0.500 0.000
8 In 0.667 0.000 0.837
9 In 0.742 0.000 0.474
10 In 0.845 0.500 0.160
11 Sn 0.314 0.000 0.695
12 Sn 0.686 0.000 0.305


x) Entry from Alexandria via LeMat-Bulk: a relaxed structure of Tl3In7Sn2 (GGA-PBE).

Output
Volume = 30.4 Å³ per atom

a = 5.228 Å, b = 4.487 Å, c = 15.774 Å
α = 90.00°, β = 99.44°, γ = 90.00°
Positions (direct):
1 Tl 0.000 0.000 0.000
2 Tl 0.331 0.500 0.651
3 Tl 0.669 0.500 0.349
4 In 0.079 0.500 0.148
5 In 0.231 0.000 0.463
6 In 0.420 0.000 0.842
7 In 0.500 0.500 0.000
8 In 0.580 0.000 0.158
9 In 0.769 0.000 0.537
10 In 0.921 0.500 0.852
11 Sn 0.135 0.000 0.276
12 Sn 0.865 0.000 0.724


So which one wins? Going from most stable to least: w), x).


w) Entry from Alexandria via LeMat-Bulk: a relaxed structure of Tl3In4Sn (GGA-PBE).

Output
Volume = 28.7 Å³ per atom

a = 3.418 Å, b = 3.418 Å, c = 19.637 Å
α = 90.00°, β = 90.00°, γ = 90.00°
Positions (direct):
1 Tl 0.000 0.000 0.000
2 Tl 0.000 0.000 0.254
3 Tl 0.000 0.000 0.746
4 In 0.500 0.500 0.128
5 In 0.500 0.500 0.382
6 In 0.500 0.500 0.618
7 In 0.500 0.500 0.872
8 Sn 0.000 0.000 0.500


x) Entry from Alexandria via LeMat-Bulk: a relaxed structure of Tl3In4Sn (GGA-PBE).

Output
Volume = 31.0 Å³ per atom

a = 7.635 Å, b = 7.635 Å, c = 4.548 Å
α = 90.00°, β = 90.00°, γ = 110.58°
Positions (direct):
1 Tl 0.000 0.000 0.000
2 Tl 0.000 0.500 0.500
3 Tl 0.500 0.000 0.500
4 In 0.260 0.740 0.000
5 In 0.268 0.268 0.500
6 In 0.732 0.732 0.500
7 In 0.740 0.260 0.000
8 Sn 0.500 0.500 0.000


So which one wins? Going from most stable to least: w), x).


w) Entry from Alexandria via LeMat-Bulk: a relaxed structure of Tl6InSn (GGA-PBE).

Output
Volume = 30.0 Å³ per atom

a = 4.758 Å, b = 4.758 Å, c = 10.598 Å
α = 90.00°, β = 90.00°, γ = 90.00°
Positions (direct):
1 Tl 0.000 0.000 0.000
2 Tl 0.000 0.000 0.500
3 Tl 0.000 0.500 0.246
4 Tl 0.000 0.500 0.754
5 Tl 0.500 0.000 0.246
6 Tl 0.500 0.000 0.754
7 In 0.500 0.500 0.500
8 Sn 0.500 0.500 0.000


x) Entry from Alexandria via LeMat-Bulk: a relaxed structure of Tl6InSn (GGA-PBE).

Output
Volume = 46.3 Å³ per atom

a = 8.512 Å, b = 8.512 Å, c = 8.512 Å
α = 114.14°, β = 114.14°, γ = 114.14°
Positions (direct):
1 Tl 0.011 0.338 0.338
2 Tl 0.338 0.011 0.338
3 Tl 0.338 0.338 0.011
4 Tl 0.662 0.662 0.989
5 Tl 0.662 0.989 0.662
6 Tl 0.989 0.662 0.662
7 In 0.000 0.000 0.000
8 Sn 0.500 0.500 0.500


So which one wins? Going from most stable to least: w), x).


w) Entry from Alexandria via LeMat-Bulk: a relaxed structure of TlIn12Sn6 (GGA-PBE).

Output
Volume = 28.8 Å³ per atom

a = 8.925 Å, b = 8.925 Å, c = 8.925 Å
α = 109.47°, β = 109.47°, γ = 109.47°
Positions (direct):
1 Tl 0.000 0.000 0.000
2 In 0.055 0.802 0.253
3 In 0.198 0.253 0.450
4 In 0.198 0.747 0.945
5 In 0.253 0.055 0.802
6 In 0.253 0.450 0.198
7 In 0.450 0.198 0.253
8 In 0.550 0.802 0.747
9 In 0.747 0.550 0.802
10 In 0.747 0.945 0.198
11 In 0.802 0.253 0.055
12 In 0.802 0.747 0.550
13 In 0.945 0.198 0.747
14 Sn 0.146 0.646 0.500
15 Sn 0.354 0.500 0.854
16 Sn 0.500 0.146 0.646
17 Sn 0.500 0.854 0.354
18 Sn 0.646 0.500 0.146
19 Sn 0.854 0.354 0.500


x) Entry from Alexandria via LeMat-Bulk: a relaxed structure of TlIn12Sn6 (GGA-PBE).

Output
Volume = 29.7 Å³ per atom

a = 8.810 Å, b = 8.810 Å, c = 8.810 Å
α = 107.36°, β = 107.36°, γ = 107.36°
Positions (direct):
1 Tl 0.000 0.000 0.000
2 In 0.112 0.348 0.348
3 In 0.113 0.500 0.887
4 In 0.113 0.887 0.500
5 In 0.348 0.112 0.348
6 In 0.348 0.348 0.112
7 In 0.500 0.113 0.887
8 In 0.500 0.887 0.113
9 In 0.652 0.652 0.888
10 In 0.652 0.888 0.652
11 In 0.887 0.113 0.500
12 In 0.887 0.500 0.113
13 In 0.888 0.652 0.652
14 Sn 0.289 0.695 0.695
15 Sn 0.305 0.305 0.711
16 Sn 0.305 0.711 0.305
17 Sn 0.695 0.289 0.695
18 Sn 0.695 0.695 0.289
19 Sn 0.711 0.305 0.305


So which one wins? Going from most stable to least: x), w).


w) Entry from Alexandria via LeMat-Bulk: a relaxed structure of Tl2In3Sn2 (GGA-PBE).

Output
Volume = 28.9 Å³ per atom

a = 3.819 Å, b = 6.451 Å, c = 8.633 Å
α = 100.80°, β = 90.09°, γ = 104.40°
Positions (direct):
1 Tl 0.138 0.267 0.417
2 Tl 0.862 0.733 0.583
3 In 0.000 0.000 0.000
4 In 0.402 0.816 0.269
5 In 0.598 0.184 0.731
6 Sn 0.290 0.589 0.877
7 Sn 0.710 0.411 0.123


x) Entry from Alexandria via LeMat-Bulk: a relaxed structure of Tl2In3Sn2 (GGA-PBE).

Output
Volume = 28.4 Å³ per atom

a = 5.990 Å, b = 5.990 Å, c = 7.297 Å
α = 94.94°, β = 94.94°, γ = 49.74°
Positions (direct):
1 Tl 0.069 0.069 0.221
2 Tl 0.931 0.931 0.779
3 In 0.219 0.219 0.648
4 In 0.500 0.500 0.500
5 In 0.781 0.781 0.352
6 Sn 0.354 0.354 0.071
7 Sn 0.646 0.646 0.929


So which one wins? Going from most stable to least: w), x).


w) Entry from Alexandria via LeMat-Bulk: a relaxed structure of TmInSn2 (GGA-PBE).

Output
Volume = 25.4 Å³ per atom

a = 4.717 Å, b = 4.717 Å, c = 4.563 Å
α = 90.00°, β = 90.00°, γ = 90.00°
Positions (direct):
1 Tm 0.000 0.000 0.000
2 In 0.500 0.500 0.000
3 Sn 0.000 0.500 0.500
4 Sn 0.500 0.000 0.500


x) Entry from Alexandria via LeMat-Bulk: a relaxed structure of TmInSn2 (GGA-PBE).

Output
Volume = 29.1 Å³ per atom

a = 6.827 Å, b = 6.827 Å, c = 6.827 Å
α = 39.60°, β = 39.60°, γ = 39.60°
Positions (direct):
1 Tm 0.000 0.000 0.000
2 In 0.826 0.826 0.826
3 Sn 0.414 0.414 0.414
4 Sn 0.581 0.581 0.581


So which one wins? Going from most stable to least: w), x).


w) Entry from Alexandria via LeMat-Bulk: a relaxed structure of TmInSn2 (GGA-PBE).

Output
Volume = 27.0 Å³ per atom

a = 5.343 Å, b = 5.343 Å, c = 5.343 Å
α = 60.00°, β = 60.00°, γ = 60.00°
Positions (direct):
1 Tm 0.000 0.000 0.000
2 In 0.500 0.500 0.500
3 Sn 0.250 0.250 0.250
4 Sn 0.750 0.750 0.750


x) Entry from Alexandria via LeMat-Bulk: a relaxed structure of TmInSn2 (GGA-PBE).

Output
Volume = 25.3 Å³ per atom

a = 5.872 Å, b = 5.872 Å, c = 5.872 Å
α = 134.95°, β = 134.06°, γ = 66.30°
Positions (direct):
1 Tm 0.000 0.000 0.000
2 In 0.500 0.500 0.000
3 Sn 0.250 0.750 0.500
4 Sn 0.750 0.250 0.500


So which one wins? Going from most stable to least: x), w).


w) Entry from Alexandria via LeMat-Bulk: a relaxed structure of Tm3In2Sn (GGA-PBE).

Output
Volume = 25.9 Å³ per atom

a = 8.393 Å, b = 8.393 Å, c = 3.682 Å
α = 90.00°, β = 90.00°, γ = 143.14°
Positions (direct):
1 Tm 0.000 0.000 0.000
2 Tm 0.338 0.662 0.000
3 Tm 0.662 0.338 0.000
4 In 0.171 0.829 0.500
5 In 0.829 0.171 0.500
6 Sn 0.500 0.500 0.500


x) Entry from Alexandria via LeMat-Bulk: a relaxed structure of Tm3In2Sn (GGA-PBE).

Output
Volume = 25.9 Å³ per atom

a = 5.256 Å, b = 5.256 Å, c = 6.501 Å
α = 90.00°, β = 90.00°, γ = 120.00°
Positions (direct):
1 Tm 0.000 0.000 0.000
2 Tm 0.333 0.667 0.652
3 Tm 0.667 0.333 0.348
4 In 0.333 0.667 0.149
5 In 0.667 0.333 0.851
6 Sn 0.000 0.000 0.500


So which one wins? Going from most stable to least: x), w).


w) Entry from Alexandria via LeMat-Bulk: a relaxed structure of Tm2InSn3 (GGA-PBE).

Output
Volume = 28.6 Å³ per atom

a = 7.552 Å, b = 7.552 Å, c = 6.240 Å
α = 90.00°, β = 90.00°, γ = 74.95°
Positions (direct):
1 Tm 0.106 0.608 0.750
2 Tm 0.392 0.894 0.750
3 Tm 0.608 0.106 0.250
4 Tm 0.894 0.392 0.250
5 In 0.072 0.928 0.250
6 In 0.928 0.072 0.750
7 Sn 0.253 0.253 0.000
8 Sn 0.253 0.253 0.500
9 Sn 0.418 0.582 0.250
10 Sn 0.582 0.418 0.750
11 Sn 0.747 0.747 0.000
12 Sn 0.747 0.747 0.500


x) Entry from Alexandria via LeMat-Bulk: a relaxed structure of Tm2InSn3 (GGA-PBE).

Output
Volume = 25.3 Å³ per atom

a = 7.917 Å, b = 7.917 Å, c = 4.591 Å
α = 90.00°, β = 90.00°, γ = 148.10°
Positions (direct):
1 Tm 0.151 0.849 0.000
2 Tm 0.849 0.151 0.000
3 In 0.000 0.000 0.500
4 Sn 0.323 0.677 0.500
5 Sn 0.500 0.500 0.000
6 Sn 0.677 0.323 0.500


So which one wins? Going from most stable to least: x), w).